(1)
# Pm6SnGe4 (PBE, relaxed)
# - Magnetization: 0.000 μB/cell
# - Uncorrected energy: -5.1574 eV/atom
# - E_form: -5.8 eV per formula unit
data_Pm6SnGe4
_cell_length_a 7.608
_cell_length_b 7.608
_cell_length_c 7.608
_cell_angle_alpha 90.25
_cell_angle_beta 119.85
_cell_angle_gamma 119.85
_space_group_name_H-M_alt 'P 1'
_space_group_IT_number 1
loop_
_space_group_symop_operation_xyz
'x,y,z'
loop_
_atom_site_label
_atom_site_type_symbol
_atom_site_fract_x
_atom_site_fract_y
_atom_site_fract_z
_atom_site_occupancy
Ge1 Ge 0.292 0.713 0.713 1
Ge2 Ge 0.000 0.578 0.287 1
Ge3 Ge 0.000 0.287 0.578 1
Ge4 Ge 0.708 0.422 0.422 1
Pm1 Pm 0.000 0.910 0.549 1
Pm2 Pm 0.500 0.000 0.500 1
Pm3 Pm 0.639 0.090 0.090 1
Pm4 Pm 0.500 0.500 0.000 1
Pm5 Pm 0.000 0.549 0.910 1
Pm6 Pm 0.361 0.451 0.451 1
Sn1 Sn 0.000 0.000 0.000 1

(2)
# Pm3SnGe5 (PBE, relaxed)
# - Magnetization: 0.000 μB/cell
# - Uncorrected energy: -5.0106 eV/atom
# - E_form: -3.8 eV per formula unit
data_Pm3SnGe5
_cell_length_a 6.289
_cell_length_b 8.840
_cell_length_c 8.840
_cell_angle_alpha 120.00
_cell_angle_beta 90.00
_cell_angle_gamma 90.00
_space_group_name_H-M_alt 'P 1'
_space_group_IT_number 1
loop_
_space_group_symop_operation_xyz
'x,y,z'
loop_
_atom_site_label
_atom_site_type_symbol
_atom_site_fract_x
_atom_site_fract_y
_atom_site_fract_z
_atom_site_occupancy
Ge1 Ge 0.750 0.710 0.000 1
Ge2 Ge 0.250 0.710 0.710 1
Ge3 Ge 0.500 0.667 0.333 1
Ge4 Ge 0.000 0.333 0.667 1
Ge5 Ge 0.000 0.667 0.333 1
Ge6 Ge 0.750 0.000 0.710 1
Ge7 Ge 0.250 0.000 0.290 1
Ge8 Ge 0.250 0.290 0.000 1
Ge9 Ge 0.500 0.333 0.667 1
Ge10 Ge 0.750 0.290 0.290 1
Sn1 Sn 0.500 0.000 0.000 1
Sn2 Sn 0.000 0.000 0.000 1
Pm1 Pm 0.250 0.624 0.000 1
Pm2 Pm 0.750 0.000 0.376 1
Pm3 Pm 0.750 0.376 0.000 1
Pm4 Pm 0.750 0.624 0.624 1
Pm5 Pm 0.250 0.376 0.376 1
Pm6 Pm 0.250 0.000 0.624 1

(3)
# Pm4Sn5Ge2 (PBE, relaxed)
# - Magnetization: 0.000 μB/cell
# - Uncorrected energy: -5.0427 eV/atom
# - E_form: -7.2 eV per formula unit
data_Pm4Sn5Ge2
_cell_length_a 4.303
_cell_length_b 7.653
_cell_length_c 9.019
_cell_angle_alpha 94.63
_cell_angle_beta 90.00
_cell_angle_gamma 90.00
_space_group_name_H-M_alt 'P 1'
_space_group_IT_number 1
loop_
_space_group_symop_operation_xyz
'x,y,z'
loop_
_atom_site_label
_atom_site_type_symbol
_atom_site_fract_x
_atom_site_fract_y
_atom_site_fract_z
_atom_site_occupancy
Pm1 Pm 0.500 0.218 0.860 1
Pm2 Pm 0.500 0.769 0.595 1
Pm3 Pm 0.500 0.231 0.405 1
Pm4 Pm 0.500 0.782 0.140 1
Sn1 Sn 0.000 0.500 0.000 1
Sn2 Sn 0.000 0.139 0.130 1
Sn3 Sn 0.000 0.457 0.660 1
Sn4 Sn 0.000 0.543 0.340 1
Sn5 Sn 0.000 0.861 0.870 1
Ge1 Ge 0.000 0.087 0.627 1
Ge2 Ge 0.000 0.913 0.373 1

(4)
# PmSn2Ge (PBE, relaxed)
# - Magnetization: 0.000 μB/cell
# - Excess energy over the best structure of this formula in the dataset: 0.00 kcal/mol of atoms
# - Uncorrected energy: -4.7923 eV/atom
# - E_form: -1.8 eV per formula unit
data_PmSn2Ge
_cell_length_a 4.848
_cell_length_b 4.545
_cell_length_c 4.545
_cell_angle_alpha 90.00
_cell_angle_beta 90.00
_cell_angle_gamma 90.00
_space_group_name_H-M_alt 'P 1'
_space_group_IT_number 1
loop_
_space_group_symop_operation_xyz
'x,y,z'
loop_
_atom_site_label
_atom_site_type_symbol
_atom_site_fract_x
_atom_site_fract_y
_atom_site_fract_z
_atom_site_occupancy
Pm1 Pm 0.500 0.500 0.500 1
Sn1 Sn 0.000 0.500 0.000 1
Sn2 Sn 0.000 0.000 0.500 1
Ge1 Ge 0.500 0.000 0.000 1

> Which of these has the lowest E_form?

Pm4Sn5Ge2

> E_form of number 1 (Pm6SnGe4)?

-5.8 eV per formula unit

> Which value of magnetization does entry 2 give?

0.000 μB/cell

Copy entry 4 word for word.
# PmSn2Ge (PBE, relaxed)
# - Magnetization: 0.000 μB/cell
# - Excess energy over the best structure of this formula in the dataset: 0.00 kcal/mol of atoms
# - Uncorrected energy: -4.7923 eV/atom
# - E_form: -1.8 eV per formula unit
data_PmSn2Ge
_cell_length_a 4.848
_cell_length_b 4.545
_cell_length_c 4.545
_cell_angle_alpha 90.00
_cell_angle_beta 90.00
_cell_angle_gamma 90.00
_space_group_name_H-M_alt 'P 1'
_space_group_IT_number 1
loop_
_space_group_symop_operation_xyz
'x,y,z'
loop_
_atom_site_label
_atom_site_type_symbol
_atom_site_fract_x
_atom_site_fract_y
_atom_site_fract_z
_atom_site_occupancy
Pm1 Pm 0.500 0.500 0.500 1
Sn1 Sn 0.000 0.500 0.000 1
Sn2 Sn 0.000 0.000 0.500 1
Ge1 Ge 0.500 0.000 0.000 1